Record 1
DFT (PBE-GGA) results for crystalline YMgPd at its relaxed geometry.

CIF file:
```
data_YMgPd
_cell_length_a 7.8352
_cell_length_b 7.8352
_cell_length_c 3.8115
_cell_angle_alpha 90.00
_cell_angle_beta 90.00
_cell_angle_gamma 120.00
_space_group_name_H-M_alt 'P 1'
_space_group_IT_number 1
loop_
_space_group_symop_operation_xyz
'x,y,z'
loop_
_atom_site_label
_atom_site_type_symbol
_atom_site_fract_x
_atom_site_fract_y
_atom_site_fract_z
Mg1 Mg 0.6087 0.0000 0.5000
Mg2 Mg 0.3913 0.3913 0.5000
Mg3 Mg 0.0000 0.6087 0.5000
Pd1 Pd 0.6667 0.3333 0.0000
Pd2 Pd 0.3333 0.6667 0.0000
Pd3 Pd 0.0000 0.0000 0.5000
Y1 Y 0.2701 0.0000 0.0000
Y2 Y 0.0000 0.2701 0.0000
Y3 Y 0.7299 0.7299 0.0000
```

Properties
- total energy (eV per atom) = -4.924
- crystal system = hexagonal
- magnetic moment (μB per formula unit) = 0.001



Record 2
DFT (PBE-GGA) results for crystalline YMgPd at its relaxed geometry.

CIF file:
```
data_YMgPd
_cell_length_a 7.0312
_cell_length_b 7.0312
_cell_length_c 5.0089
_cell_angle_alpha 90.00
_cell_angle_beta 90.00
_cell_angle_gamma 120.00
_space_group_name_H-M_alt 'P 1'
_space_group_IT_number 1
loop_
_space_group_symop_operation_xyz
'x,y,z'
loop_
_atom_site_label
_atom_site_type_symbol
_atom_site_fract_x
_atom_site_fract_y
_atom_site_fract_z
Mg1 Mg 0.4685 0.0000 0.5000
Mg2 Mg 0.0000 0.4685 0.5000
Mg3 Mg 0.5315 0.5315 0.5000
Pd1 Pd 0.2350 0.0000 0.0000
Pd2 Pd 0.0000 0.2350 0.0000
Pd3 Pd 0.7650 0.7650 0.0000
Y1 Y 0.6667 0.3333 0.0000
Y2 Y 0.3333 0.6667 0.0000
Y3 Y 0.0000 0.0000 0.5000
```

Properties
- total energy (eV per atom) = -4.788
- crystal system = hexagonal
- magnetic moment (μB per formula unit) = 0.002



Record 3
DFT (PBE-GGA) results for crystalline Y2MgPd2 at its relaxed geometry.

CIF file:
```
data_Y2MgPd2
_cell_length_a 7.6303
_cell_length_b 7.6303
_cell_length_c 3.8542
_cell_angle_alpha 90.00
_cell_angle_beta 90.00
_cell_angle_gamma 90.00
_space_group_name_H-M_alt 'P 1'
_space_group_IT_number 1
loop_
_space_group_symop_operation_xyz
'x,y,z'
loop_
_atom_site_label
_atom_site_type_symbol
_atom_site_fract_x
_atom_site_fract_y
_atom_site_fract_z
Mg1 Mg 0.0000 0.0000 0.0000
Mg2 Mg 0.5000 0.5000 0.0000
Pd1 Pd 0.6321 0.1321 0.0000
Pd2 Pd 0.1321 0.3679 0.0000
Pd3 Pd 0.8679 0.6321 0.0000
Pd4 Pd 0.3679 0.8679 0.0000
Y1 Y 0.3311 0.1689 0.5000
Y2 Y 0.8311 0.3311 0.5000
Y3 Y 0.1689 0.6689 0.5000
Y4 Y 0.6689 0.8311 0.5000
```

Properties
- total energy (eV per atom) = -5.743
- crystal system = tetragonal
- magnetic moment (μB per formula unit) = 0.012



Record 4
DFT (PBE-GGA) results for crystalline Y3Mg3Zn2Pd at its relaxed geometry.

CIF file:
```
data_Y3Mg3Zn2Pd
_cell_length_a 7.5302
_cell_length_b 7.5302
_cell_length_c 4.1157
_cell_angle_alpha 90.00
_cell_angle_beta 90.00
_cell_angle_gamma 120.00
_space_group_name_H-M_alt 'P 1'
_space_group_IT_number 1
loop_
_space_group_symop_operation_xyz
'x,y,z'
loop_
_atom_site_label
_atom_site_type_symbol
_atom_site_fract_x
_atom_site_fract_y
_atom_site_fract_z
Mg1 Mg 0.2413 0.0000 0.0000
Mg2 Mg 0.0000 0.2413 0.0000
Mg3 Mg 0.7587 0.7587 0.0000
Pd1 Pd 0.0000 0.0000 0.5000
Y1 Y 0.5912 0.0000 0.5000
Y2 Y 0.4088 0.4088 0.5000
Y3 Y 0.0000 0.5912 0.5000
Zn1 Zn 0.6667 0.3333 0.0000
Zn2 Zn 0.3333 0.6667 0.0000
```

Properties
- total energy (eV per atom) = -3.943
- crystal system = hexagonal
- magnetic moment (μB per formula unit) = 0.225



Record 5
DFT (PBE-GGA) results for crystalline Y3Mg3ZnPd2 at its relaxed geometry.

CIF file:
```
data_Y3Mg3ZnPd2
_cell_length_a 7.5254
_cell_length_b 7.5254
_cell_length_c 4.0551
_cell_angle_alpha 90.00
_cell_angle_beta 90.00
_cell_angle_gamma 120.00
_space_group_name_H-M_alt 'P 1'
_space_group_IT_number 1
loop_
_space_group_symop_operation_xyz
'x,y,z'
loop_
_atom_site_label
_atom_site_type_symbol
_atom_site_fract_x
_atom_site_fract_y
_atom_site_fract_z
Mg1 Mg 0.2486 0.0000 0.5000
Mg2 Mg 0.0000 0.2486 0.5000
Mg3 Mg 0.7514 0.7514 0.5000
Pd1 Pd 0.6667 0.3333 0.5000
Pd2 Pd 0.3333 0.6667 0.5000
Y1 Y 0.5848 0.0000 0.0000
Y2 Y 0.4152 0.4152 0.0000
Y3 Y 0.0000 0.5848 0.0000
Zn1 Zn 0.0000 0.0000 0.0000
```

Properties
- total energy (eV per atom) = -4.512
- crystal system = hexagonal
- magnetic moment (μB per formula unit) = 0.033



Record 6
DFT (PBE-GGA) results for crystalline MgZnPd2 at its relaxed geometry.

CIF file:
```
data_MgZnPd2
_cell_length_a 4.4531
_cell_length_b 4.4531
_cell_length_c 7.8563
_cell_angle_alpha 90.00
_cell_angle_beta 90.00
_cell_angle_gamma 120.00
_space_group_name_H-M_alt 'P 1'
_space_group_IT_number 1
loop_
_space_group_symop_operation_xyz
'x,y,z'
loop_
_atom_site_label
_atom_site_type_symbol
_atom_site_fract_x
_atom_site_fract_y
_atom_site_fract_z
Mg1 Mg 0.0000 0.0000 0.0000
Mg2 Mg 0.0000 0.0000 0.5000
Pd1 Pd 0.6667 0.3333 0.0806
Pd2 Pd 0.6667 0.3333 0.4194
Pd3 Pd 0.3333 0.6667 0.5806
Pd4 Pd 0.3333 0.6667 0.9194
Zn1 Zn 0.3333 0.6667 0.2500
Zn2 Zn 0.6667 0.3333 0.7500
```

Properties
- total energy (eV per atom) = -3.776
- crystal system = hexagonal



Record 7
DFT (PBE-GGA) results for crystalline MgZnPd2 at its relaxed geometry.

CIF file:
```
data_MgZnPd2
_cell_length_a 4.4493
_cell_length_b 4.4493
_cell_length_c 4.4493
_cell_angle_alpha 60.00
_cell_angle_beta 60.00
_cell_angle_gamma 60.00
_space_group_name_H-M_alt 'P 1'
_space_group_IT_number 1
loop_
_space_group_symop_operation_xyz
'x,y,z'
loop_
_atom_site_label
_atom_site_type_symbol
_atom_site_fract_x
_atom_site_fract_y
_atom_site_fract_z
Mg1 Mg 0.2500 0.2500 0.2500
Pd1 Pd 0.0000 0.0000 0.0000
Pd2 Pd 0.7500 0.7500 0.7500
Zn1 Zn 0.5000 0.5000 0.5000
```

Properties
- total energy (eV per atom) = -3.762
- crystal system = cubic



Record 8
DFT (PBE-GGA) results for crystalline MgZnPd2 at its relaxed geometry.

CIF file:
```
data_MgZnPd2
_cell_length_a 5.9323
_cell_length_b 6.7947
_cell_length_c 6.0062
_cell_angle_alpha 90.00
_cell_angle_beta 90.00
_cell_angle_gamma 90.00
_space_group_name_H-M_alt 'P 1'
_space_group_IT_number 1
loop_
_space_group_symop_operation_xyz
'x,y,z'
loop_
_atom_site_label
_atom_site_type_symbol
_atom_site_fract_x
_atom_site_fract_y
_atom_site_fract_z
Mg1 Mg 0.7500 0.2500 0.0000
Mg2 Mg 0.2500 0.7500 0.0000
Mg3 Mg 0.2500 0.7500 0.5000
Mg4 Mg 0.7500 0.2500 0.5000
Pd1 Pd 0.5000 0.0000 0.2500
Pd2 Pd 0.5000 0.5000 0.2500
Pd3 Pd 0.0000 0.0000 0.2500
Pd4 Pd 0.0000 0.5000 0.2500
Pd5 Pd 0.0000 0.0000 0.7500
Pd6 Pd 0.0000 0.5000 0.7500
Pd7 Pd 0.5000 0.0000 0.7500
Pd8 Pd 0.5000 0.5000 0.7500
Zn1 Zn 0.2500 0.2500 0.0000
Zn2 Zn 0.7500 0.7500 0.0000
Zn3 Zn 0.2500 0.2500 0.5000
Zn4 Zn 0.7500 0.7500 0.5000
```

Properties
- total energy (eV per atom) = -3.954
- crystal system = orthorhombic



Record 9
DFT (PBE-GGA) results for crystalline MgZn2Pd at its relaxed geometry.

CIF file:
```
data_MgZn2Pd
_cell_length_a 4.9530
_cell_length_b 4.9530
_cell_length_c 4.9530
_cell_angle_alpha 134.60
_cell_angle_beta 134.60
_cell_angle_gamma 66.16
_space_group_name_H-M_alt 'P 1'
_space_group_IT_number 1
loop_
_space_group_symop_operation_xyz
'x,y,z'
loop_
_atom_site_label
_atom_site_type_symbol
_atom_site_fract_x
_atom_site_fract_y
_atom_site_fract_z
Mg1 Mg 0.0000 0.0000 0.0000
Pd1 Pd 0.5000 0.5000 0.0000
Zn1 Zn 0.7500 0.2500 0.5000
Zn2 Zn 0.2500 0.7500 0.5000
```

Properties
- total energy (eV per atom) = -2.754
- crystal system = tetragonal



Record 10
DFT (PBE-GGA) results for crystalline MgZnPd at its relaxed geometry.

CIF file:
```
data_MgZnPd
_cell_length_a 3.6509
_cell_length_b 4.0749
_cell_length_c 6.5650
_cell_angle_alpha 90.00
_cell_angle_beta 106.14
_cell_angle_gamma 90.00
_space_group_name_H-M_alt 'P 1'
_space_group_IT_number 1
loop_
_space_group_symop_operation_xyz
'x,y,z'
loop_
_atom_site_label
_atom_site_type_symbol
_atom_site_fract_x
_atom_site_fract_y
_atom_site_fract_z
Mg1 Mg 0.9194 0.2500 0.3381
Mg2 Mg 0.0806 0.7500 0.6619
Pd1 Pd 0.4068 0.7500 0.3131
Pd2 Pd 0.5932 0.2500 0.6869
Zn1 Zn 0.7500 0.7500 0.0002
Zn2 Zn 0.2500 0.2500 0.9998
```

Properties
- total energy (eV per atom) = -3.200
- crystal system = orthorhombic



Record 11
DFT (PBE-GGA) results for crystalline MgZnPd at its relaxed geometry.

CIF file:
```
data_MgZnPd
_cell_length_a 4.3185
_cell_length_b 4.3185
_cell_length_c 4.3185
_cell_angle_alpha 60.00
_cell_angle_beta 60.00
_cell_angle_gamma 60.00
_space_group_name_H-M_alt 'P 1'
_space_group_IT_number 1
loop_
_space_group_symop_operation_xyz
'x,y,z'
loop_
_atom_site_label
_atom_site_type_symbol
_atom_site_fract_x
_atom_site_fract_y
_atom_site_fract_z
Mg1 Mg 0.2500 0.2500 0.2500
Pd1 Pd 0.0000 0.0000 0.0000
Zn1 Zn 0.7500 0.7500 0.7500
```

Properties
- total energy (eV per atom) = -3.035
- crystal system = cubic



Record 12
DFT (PBE-GGA) results for crystalline MgZnPd2 at its relaxed geometry.

CIF file:
```
data_MgZnPd2
_cell_length_a 4.3452
_cell_length_b 4.3452
_cell_length_c 8.2868
_cell_angle_alpha 90.00
_cell_angle_beta 90.00
_cell_angle_gamma 120.00
_space_group_name_H-M_alt 'P 1'
_space_group_IT_number 1
loop_
_space_group_symop_operation_xyz
'x,y,z'
loop_
_atom_site_label
_atom_site_type_symbol
_atom_site_fract_x
_atom_site_fract_y
_atom_site_fract_z
Mg1 Mg 0.3333 0.6667 0.2500
Mg2 Mg 0.6667 0.3333 0.7500
Pd1 Pd 0.6667 0.3333 0.0807
Pd2 Pd 0.6667 0.3333 0.4193
Pd3 Pd 0.3333 0.6667 0.5807
Pd4 Pd 0.3333 0.6667 0.9193
Zn1 Zn 0.0000 0.0000 0.0000
Zn2 Zn 0.0000 0.0000 0.5000
```

Properties
- total energy (eV per atom) = -3.837
- crystal system = hexagonal



What is the total energy in the eleventh record? -3.035 eV per atom



What is the total energy in the ninth record? -2.754 eV per atom